The following is a DFT calculation (PBE) of crystalline ZrTiHg at its relaxed geometry.

Properties
* calculated formation energy: -84.0 meV/atom

```
ZrTiHg
1.0
3.0493 0.0000 0.0000
0.0000 4.9571 0.0000
-0.8676 0.0000 8.0945
Zr Ti Hg
2 2 2
direct
0.0548 0.2500 0.2406 Zr
0.9452 0.7500 0.7594 Zr
0.3236 0.7500 0.4513 Ti
0.6764 0.2500 0.5487 Ti
0.4490 0.2500 0.8914 Hg
0.5510 0.7500 0.1086 Hg
```

The following is a DFT calculation (PBE) of crystalline BeZnCl at its relaxed geometry.

Properties
* energy relative to the elements, uncorrected: -24 meV per atom

```
BeZnCl
1.0
0.0000 2.8600 7.3186
1.5213 0.0000 7.3186
1.5213 2.8600 0.0000
Be Zn Cl
1 1 1
direct
0.0000 0.0000 0.0000 Be
0.6295 0.6295 0.3705 Zn
0.4070 0.4070 0.5930 Cl
```

The following is a DFT calculation (PBE) of crystalline Rb2Pd at its relaxed geometry.

Properties
* calculated formation energy: 96.8 meV/atom

```
Rb2Pd
1.0
0.0000 4.0962 4.0962
4.0962 0.0000 4.0962
4.0962 4.0962 0.0000
Rb Pd
2 1
direct
0.2500 0.2500 0.2500 Rb
0.7500 0.7500 0.7500 Rb
0.0000 0.0000 0.0000 Pd
```

The following is a DFT calculation (PBE) of crystalline SmThCoIr at its relaxed geometry.

Properties
* calculated formation energy: -394.0 meV/atom

```
SmThCoIr
1.0
0.0000 3.5011 3.5011
3.5011 0.0000 3.5011
3.5011 3.5011 0.0000
Sm Th Co Ir
1 1 1 1
direct
0.0000 0.0000 0.0000 Sm
0.5000 0.5000 0.5000 Th
0.2500 0.2500 0.2500 Co
0.7500 0.7500 0.7500 Ir
```

The following is a DFT calculation (PBE) of crystalline LiBiSbI2 at its relaxed geometry.

Properties
* energy relative to the elements, uncorrected: 86 meV per atom

```
LiBiSbI2
1.0
5.2639 0.0000 0.0000
0.0000 5.2639 0.0000
0.0000 0.0000 5.4784
Li Bi Sb I
1 1 1 2
direct
0.0000 0.0000 0.0000 Li
0.5000 0.5000 0.5000 Bi
0.0000 0.0000 0.5000 Sb
0.0000 0.5000 0.0000 I
0.5000 0.0000 0.0000 I
```

The following is a DFT calculation (PBE) of crystalline TlSbCl at its relaxed geometry.

Properties
* energy relative to the elements, uncorrected: -17 meV per atom

```
TlSbCl
1.0
0.0000 3.6168 3.6168
3.6168 0.0000 3.6168
3.6168 3.6168 0.0000
Tl Sb Cl
1 1 1
direct
0.0000 0.0000 0.0000 Tl
0.7500 0.7500 0.7500 Sb
0.5000 0.5000 0.5000 Cl
```

The following is a DFT calculation (PBE) of crystalline Tb8CdHg2 at its relaxed geometry.

Properties
* calculated formation energy: -218.2 meV/atom

```
Tb8CdHg2
1.0
8.1132 -2.6791 0.0000
8.1132 2.6791 0.0000
-4.4150 0.0000 7.2894
Tb Cd Hg
8 1 2
direct
0.0680 0.0680 0.2217 Tb
0.1387 0.1387 0.6899 Tb
0.3190 0.3190 0.5500 Tb
0.4067 0.4067 0.0470 Tb
0.5933 0.5933 0.9530 Tb
0.6810 0.6810 0.4500 Tb
0.8613 0.8613 0.3101 Tb
0.9320 0.9320 0.7783 Tb
0.5000 0.5000 0.5000 Cd
0.2261 0.2261 0.1222 Hg
0.7739 0.7739 0.8778 Hg
```

The following is a DFT calculation (PBE) of crystalline Pu4InRh2 at its relaxed geometry.

Properties
* calculated formation energy: -199.2 meV/atom

```
Pu4InRh2
1.0
2.4764 1.4297 7.0789
-2.4764 1.4297 7.0789
0.0000 -2.8595 7.0789
Pu In Rh
4 1 2
direct
0.0722 0.0722 0.0722 Pu
0.2378 0.2378 0.2378 Pu
0.7622 0.7622 0.7622 Pu
0.9278 0.9278 0.9278 Pu
0.5000 0.5000 0.5000 In
0.3662 0.3662 0.3662 Rh
0.6338 0.6338 0.6338 Rh
```

The following is a DFT calculation (PBE) of crystalline TbNbTcRu at its relaxed geometry.

Properties
* calculated formation energy: -159.3 meV/atom

```
TbNbTcRu
1.0
0.0000 3.2886 3.2886
3.2886 0.0000 3.2886
3.2886 3.2886 0.0000
Tb Nb Tc Ru
1 1 1 1
direct
0.0000 0.0000 0.0000 Tb
0.5000 0.5000 0.5000 Nb
0.7500 0.7500 0.7500 Tc
0.2500 0.2500 0.2500 Ru
```

The following is a DFT calculation (PBE) of crystalline KTl2CuSn at its relaxed geometry.

Properties
* calculated formation energy: 73.2 meV/atom

```
KTl2CuSn
1.0
5.4519 0.0000 0.0000
0.0000 5.4519 0.0000
0.0000 0.0000 5.1985
K Tl Cu Sn
1 2 1 1
direct
0.0000 0.0000 0.0000 K
0.0000 0.5000 0.5000 Tl
0.5000 0.0000 0.5000 Tl
0.5000 0.5000 0.5000 Cu
0.5000 0.5000 0.0000 Sn
```

The following is a DFT calculation (PBE) of crystalline TmPuIrPd at its relaxed geometry.

Properties
* calculated formation energy: -671.3 meV/atom

```
TmPuIrPd
1.0
0.0000 3.4461 3.4461
3.4461 0.0000 3.4461
3.4461 3.4461 0.0000
Tm Pu Ir Pd
1 1 1 1
direct
0.0000 0.0000 0.0000 Tm
0.5000 0.5000 0.5000 Pu
0.7500 0.7500 0.7500 Ir
0.2500 0.2500 0.2500 Pd
```

The following is a DFT calculation (PBE) of crystalline Tb5Sm8Ho at its relaxed geometry.

Properties
* calculated formation energy: 252.9 meV/atom

```
Tb5Sm8Ho
1.0
-4.8282 4.8282 5.1058
4.8282 -4.8282 5.1058
4.8282 4.8282 -5.1058
Tb Sm Ho
5 8 1
direct
0.0000 0.0000 0.0000 Tb
0.2181 0.3177 0.6846 Tb
0.4664 0.7819 0.0996 Tb
0.6332 0.5336 0.3154 Tb
0.6823 0.3668 0.9004 Tb
0.1594 0.4244 0.0910 Sm
0.3333 0.0684 0.9090 Sm
0.4215 0.1654 0.3953 Sm
0.5756 0.6667 0.7351 Sm
0.7702 0.0262 0.6047 Sm
0.8346 0.2298 0.2561 Sm
0.9316 0.8406 0.2649 Sm
0.9738 0.5785 0.7439 Sm
0.2500 0.7500 0.5000 Ho
```

The following is a DFT calculation (PBE) of crystalline Mg2ZrPt at its relaxed geometry.

Properties
* calculated formation energy: -463.7 meV/atom

```
Mg2ZrPt
1.0
4.0401 0.0000 0.0000
0.0000 4.0401 0.0000
0.0000 0.0000 4.6654
Mg Zr Pt
2 1 1
direct
0.0000 0.5000 0.0000 Mg
0.5000 0.0000 0.0000 Mg
0.0000 0.0000 0.5000 Zr
0.5000 0.5000 0.5000 Pt
```

The following is a DFT calculation (PBE) of crystalline NaMnSe2 at its relaxed geometry.

Properties
* energy relative to the elements, uncorrected: -417 meV per atom

```
NaMnSe2
1.0
-3.1900 3.1900 4.9759
3.1900 -3.1900 4.9759
3.1900 3.1900 -4.9759
Na Mn Se
2 2 4
direct
0.0000 0.0000 0.0000 Na
0.7500 0.2500 0.5000 Na
0.2500 0.7500 0.5000 Mn
0.5000 0.5000 0.0000 Mn
0.2116 0.6250 0.0866 Se
0.3750 0.4616 0.5866 Se
0.5384 0.1250 0.9134 Se
0.8750 0.7884 0.4134 Se
```

The following is a DFT calculation (PBE) of crystalline FeOsPt2 at its relaxed geometry.

Properties
* calculated formation energy: 32.4 meV/atom

```
FeOsPt2
1.0
2.7371 0.0000 0.0000
0.0000 2.7371 0.0000
0.0000 0.0000 7.7533
Fe Os Pt
1 1 2
direct
0.0000 0.0000 0.0000 Fe
0.0000 0.0000 0.5000 Os
0.5000 0.5000 0.2449 Pt
0.5000 0.5000 0.7551 Pt
```

The following is a DFT calculation (PBE) of crystalline RbW3I at its relaxed geometry.

Properties
* energy relative to the elements, uncorrected: 4196 meV per atom

```
RbW3I
1.0
4.8610 0.0000 0.0000
0.0000 4.8610 0.0000
0.0000 0.0000 4.8610
Rb W I
1 3 1
direct
0.0000 0.0000 0.0000 Rb
0.0000 0.0000 0.5000 W
0.0000 0.5000 0.0000 W
0.5000 0.0000 0.0000 W
0.5000 0.5000 0.5000 I
```

The following is a DFT calculation (PBE) of crystalline DyTlIn at its relaxed geometry.

Properties
* calculated formation energy: -249.3 meV/atom

```
DyTlIn
1.0
-2.2778 2.2778 7.9030
2.2778 -2.2778 7.9030
2.2778 2.2778 -7.9030
Dy Tl In
2 2 2
direct
0.1553 0.1553 0.0000 Dy
0.8447 0.8447 0.0000 Dy
0.0000 0.5000 0.5000 Tl
0.5000 0.0000 0.5000 Tl
0.3502 0.3502 0.0000 In
0.6498 0.6498 0.0000 In
```

The following is a DFT calculation (PBE) of crystalline InRh2Se at its relaxed geometry.

Properties
* energy relative to the elements, uncorrected: -105 meV per atom

```
InRh2Se
1.0
4.0967 -1.5813 0.0000
4.0967 1.5813 0.0000
-1.2591 0.0000 5.2964
In Rh Se
1 2 1
direct
0.0000 0.0000 0.0000 In
0.2464 0.2464 0.7208 Rh
0.7536 0.7536 0.2792 Rh
0.5000 0.5000 0.5000 Se
```

The following is a DFT calculation (PBE) of crystalline Dy2Zn2Co15 at its relaxed geometry.

Properties
* calculated formation energy: -97.3 meV/atom

```
Dy2Zn2Co15
1.0
4.1859 2.4167 4.0334
-4.1859 2.4167 4.0334
0.0000 -4.8334 4.0334
Dy Zn Co
2 2 15
direct
0.1518 0.1518 0.1518 Dy
0.8482 0.8482 0.8482 Dy
0.3970 0.3970 0.3970 Zn
0.6030 0.6030 0.6030 Zn
0.0000 0.5000 0.5000 Co
0.1490 0.1490 0.6532 Co
0.1490 0.6532 0.1490 Co
0.2103 0.5000 0.7897 Co
0.2103 0.7897 0.5000 Co
0.3468 0.8510 0.8510 Co
0.5000 0.0000 0.5000 Co
0.5000 0.2103 0.7897 Co
0.5000 0.5000 0.0000 Co
0.5000 0.7897 0.2103 Co
0.6532 0.1490 0.1490 Co
0.7897 0.2103 0.5000 Co
0.7897 0.5000 0.2103 Co
0.8510 0.3468 0.8510 Co
0.8510 0.8510 0.3468 Co
```

The following is a DFT calculation (PBE) of crystalline Sr2MnSbSe5 at its relaxed geometry.

Properties
* energy relative to the elements, uncorrected: -1072 meV per atom

```
Sr2MnSbSe5
1.0
2.0950 -9.1866 0.0000
2.0950 9.1866 0.0000
0.0000 0.0000 12.8887
Sr Mn Sb Se
4 2 2 10
direct
0.1140 0.8860 0.5000 Sr
0.1234 0.8766 0.1464 Sr
0.8766 0.1234 0.6464 Sr
0.8860 0.1140 0.0000 Sr
0.4496 0.5504 0.2326 Mn
0.5504 0.4496 0.7326 Mn
0.2021 0.7979 0.8482 Sb
0.7979 0.2021 0.3482 Sb
0.0228 0.9772 0.8226 Se
0.2871 0.7129 0.4983 Se
0.3197 0.6803 0.1851 Se
0.3462 0.6538 0.8246 Se
0.4928 0.5072 0.5664 Se
0.5072 0.4928 0.0664 Se
0.6538 0.3462 0.3246 Se
0.6803 0.3197 0.6851 Se
0.7129 0.2871 0.9983 Se
0.9772 0.0228 0.3226 Se
```